Crystalline PmIn4Cu4 at its relaxed geometry, computed with GGA-PBE.

The calculation puts the formation energy from the elements at -0.06 eV per atom. The spin magnetization comes out at 0.00 μB per cell. Its calculated total energy is -65.3 eV/cell.

The space group is I4/m (No. 87) and the conventional cell measures 8.995, 8.995 and 4.630 Å, with angles of 90.00, 90.00 and 90.00 degrees. The distinct sites, in fractional coordinates, are Pm at (0.000, 0.000, 0.000), In at (0.120, 0.356, 0.000) and Cu at (0.082, 0.187, 0.500).